No. 1
Compound: PrInH8Ir2
Source: Alexandria
Functional: PBE-GGA
Structure: optimized geometry

Geometry as POSCAR:
```
PrInH8Ir2
1.0
4.859 0.000 0.000
2.430 4.208 0.000
2.430 1.403 6.055
Pr In H Ir
1 1 8 2
direct
0.500 0.500 0.500
0.000 0.000 0.000
0.182 0.182 0.454
0.472 0.471 0.169
0.818 0.818 0.546
0.888 0.472 0.169
0.112 0.528 0.831
0.471 0.888 0.169
0.529 0.112 0.831
0.528 0.529 0.831
0.271 0.271 0.187
0.729 0.729 0.813
```

## Properties
- DOS at the Fermi energy: 2.6 states/eV per cell
- VASP energy: -4.3768 eV/atom
- SG: R-3m, No. 166
- Density: 8.7 g cm⁻³

---

No. 2
Compound: InHIrPt2
Source: Alexandria
Functional: PBE-GGA
Structure: optimized geometry

Geometry as POSCAR:
```
InHIrPt2
1.0
4.089 0.000 0.000
0.000 4.089 0.000
0.000 0.000 4.065
H Ir Pt In
1 1 2 1
direct
0.000 0.000 0.000
0.000 0.000 0.500
0.000 0.500 0.000
0.500 0.000 0.000
0.500 0.500 0.500
```

## Properties
- DOS at the Fermi energy: 3.1 states/eV per cell
- SG: P4/mmm, No. 123
- Density: 17.1 g cm⁻³
- Energy above the most stable polymorph in this dataset: 0.0 meV per atom

---

No. 3
Compound: InHIrPt2
Source: Alexandria
Functional: PBE-GGA
Structure: optimized geometry

Geometry as POSCAR:
```
InHIrPt2
1.0
-2.800 1.967 3.471
-3.691 -3.553 -0.963
2.002 -2.975 3.301
H Ir Pt In
1 1 2 1
direct
0.500 0.500 0.500
0.000 0.000 0.000
0.000 0.000 0.500
0.500 0.000 0.000
0.000 0.500 0.000
```

## Properties
- DOS at the Fermi energy: 6.2 states/eV per cell
- SG: P4/mmm, No. 123
- Density: 9.4 g cm⁻³
- Energy above the most stable polymorph in this dataset: 1384.4 meV per atom

---

No. 4
Compound: In2HIrRu
Source: Alexandria
Functional: PBE-GGA
Structure: optimized geometry

Geometry as POSCAR:
```
In2HIrRu
1.0
-1.495 1.325 -4.787
-4.223 -1.746 0.835
-1.561 4.620 1.766
Ru Ir H In
1 1 1 2
direct
0.000 0.000 0.000
0.000 0.500 0.000
0.500 0.500 0.500
0.000 0.000 0.500
0.500 0.000 0.000
```

## Properties
- DOS at the Fermi energy: 3.8 states/eV per cell
- VASP energy: -4.3272 eV/atom
- SG: P4/mmm, No. 123
- Density: 7.0 g cm⁻³

---

No. 5
Compound: Sc2InHIr
Source: Alexandria
Functional: PBE-GGA
Structure: optimized geometry

Geometry as POSCAR:
```
Sc2InHIr
1.0
4.570 0.000 0.000
0.000 4.570 0.000
0.000 0.000 3.801
Sc H Ir In
2 1 1 1
direct
0.000 0.500 0.000
0.500 0.000 0.000
0.000 0.000 0.000
0.000 0.000 0.500
0.500 0.500 0.500
```

## Properties
- DOS at the Fermi energy: 1.5 states/eV per cell
- VASP energy: -6.1071 eV/atom
- SG: P4/mmm, No. 123
- Density: 8.3 g cm⁻³

---

No. 6
Compound: ScInH6Ir2
Source: Alexandria
Functional: PBE-GGA
Structure: optimized geometry

Geometry as POSCAR:
```
ScInH6Ir2
1.0
5.220 -0.375 -0.097
-1.012 5.135 -0.097
-1.374 -1.554 7.741
Sc In H Ir
2 2 12 4
direct
0.553 0.447 0.250
0.447 0.553 0.750
0.151 0.849 0.250
0.849 0.151 0.750
0.929 0.376 0.165
0.624 0.071 0.335
0.071 0.624 0.835
0.376 0.929 0.665
0.214 0.217 0.013
0.783 0.786 0.487
0.786 0.783 0.987
0.217 0.214 0.513
0.318 0.645 0.475
0.355 0.682 0.025
0.682 0.355 0.525
0.645 0.318 0.975
0.358 0.097 0.858
0.903 0.642 0.642
0.642 0.903 0.142
0.097 0.358 0.358
```

## Properties
- DOS at the Fermi energy: 0.1 states/eV per cell
- VASP energy: -4.8931 eV/atom
- SG: C2/c, No. 15
- Density: 9.0 g cm⁻³